Cs2PuNi2O6: relaxed, PBE with a Hubbard U.

a b c (Å): 7.0989 8.7712 7.6932
angles (deg): 90.00 116.00 90.00
With the nearest neighbours (Å) after each atom.
Space group C2/m (No. 12)
Unique sites:
1 Cs 0.0000 0.2072 0.0000  4 O 2.86-2.96
2 Pu 0.0000 0.0000 0.5000  4 O 2.01
3 Ni 0.0000 0.3451 0.5000  4 O 1.99-2.04
4 O 0.1341 0.1706 0.6886  1 Pu 2.01, 1 Ni 2.04
5 O 0.2268 0.5000 0.5861  2 Ni 1.99

## Properties
VASP energy (eV for the cell shown): -138.0

---

HoCrO5: relaxed, PBE with a Hubbard U.

a b c (Å): 7.2256 7.2256 4.4988
angles (deg): 90.00 90.00 90.00
With the nearest neighbours (Å) after each atom.
Space group P4/nmm (No. 129, origin choice 2)
Unique sites:
1 Ho 0.2500 0.2500 0.2467  6 O 2.24-2.26
2 Cr 0.2500 0.7500 0.5000  4 O 1.66
3 O 0.0617 0.7500 0.7125  1 Cr 1.66
4 O 0.2500 0.2500 0.7483  2 Ho 2.24-2.26

## Properties
VASP energy (eV for the cell shown): -98.6

---

Please write out number 2 again, unchanged.
HoCrO5: relaxed, PBE with a Hubbard U.

a b c (Å): 7.2256 7.2256 4.4988
angles (deg): 90.00 90.00 90.00
With the nearest neighbours (Å) after each atom.
Space group P4/nmm (No. 129, origin choice 2)
Unique sites:
1 Ho 0.2500 0.2500 0.2467  6 O 2.24-2.26
2 Cr 0.2500 0.7500 0.5000  4 O 1.66
3 O 0.0617 0.7500 0.7125  1 Cr 1.66
4 O 0.2500 0.2500 0.7483  2 Ho 2.24-2.26

## Properties
VASP energy (eV for the cell shown): -98.6